# 1
Computed, not measured: a relaxed structure of NdTmTl2 at the PBE level of DFT.

a = 4.3316 Å, b = 5.0986 Å, c = 5.0986 Å
α = 90.00°, β = 90.00°, γ = 90.00°
Closest atoms and distances in Å follow each position.
Element x y z (fractional)
Tl (0.0000, 0.0000, 0.5000)  4 Nd 3.35, 4 Tm 3.35, 4 Tl 3.61
Tl (0.0000, 0.5000, 0.0000)  4 Nd 3.35, 4 Tm 3.35, 4 Tl 3.61
Tm (0.5000, 0.5000, 0.5000)  8 Tl 3.35, 4 Nd 3.61
Nd (0.5000, 0.0000, 0.0000)  8 Tl 3.35, 4 Tm 3.61

Calculated values
- Total moment: 0.004 μB per formula unit
- Excess energy over the best structure of this formula in the dataset: 18 meV/atom
- E: -3.83 eV/atom



# 2
Computed, not measured: a relaxed structure of Nd5Tm4Tl at the PBE level of DFT.

a = 4.1328 Å, b = 4.1328 Å, c = 18.8181 Å
α = 90.00°, β = 90.00°, γ = 90.00°
Closest atoms and distances in Å follow each position.
Element x y z (fractional)
Nd (0.5000, 0.5000, 0.0929)  4 Tl 3.41, 1 Nd 3.50, 4 Tm 3.52
Nd (0.5000, 0.5000, 0.2965)  8 Tm 3.46-3.49, 2 Nd 3.83
Nd (0.5000, 0.5000, 0.5000)  8 Tm 3.50, 2 Nd 3.83
Nd (0.5000, 0.5000, 0.7035)  8 Tm 3.46-3.49, 2 Nd 3.83
Nd (0.5000, 0.5000, 0.9071)  4 Tl 3.41, 1 Nd 3.50, 4 Tm 3.52
Tm (0.0000, 0.0000, 0.1976)  8 Nd 3.46-3.52, 1 Tl 3.72, 1 Tm 3.77
Tm (0.0000, 0.0000, 0.3980)  8 Nd 3.49-3.50, 2 Tm 3.77-3.84
Tm (0.0000, 0.0000, 0.6020)  8 Nd 3.49-3.50, 2 Tm 3.77-3.84
Tm (0.0000, 0.0000, 0.8024)  8 Nd 3.46-3.52, 1 Tl 3.72, 1 Tm 3.77
Tl (0.0000, 0.0000, 0.0000)  8 Nd 3.41, 2 Tm 3.72

Calculated values
- Total moment: 0.002 μB per formula unit
- Excess energy over the best structure of this formula in the dataset: 0 meV/atom
- E: -4.40 eV/atom



# 3
Computed, not measured: a relaxed structure of Nd2TmTl3 at the PBE level of DFT.

a = 3.8130 Å, b = 3.8130 Å, c = 11.8276 Å
α = 90.00°, β = 90.00°, γ = 90.00°
Closest atoms and distances in Å follow each position.
Element x y z (fractional)
Nd (0.5000, 0.5000, 0.8269)  8 Tl 3.39
Nd (0.5000, 0.5000, 0.1731)  8 Tl 3.39
Tm (0.5000, 0.5000, 0.5000)  8 Tl 3.25
Tl (0.0000, 0.0000, 0.0000)  8 Nd 3.39
Tl (0.0000, 0.0000, 0.6530)  4 Tm 3.25, 4 Nd 3.39, 1 Tl 3.62
Tl (0.0000, 0.0000, 0.3470)  4 Tm 3.25, 4 Nd 3.39, 1 Tl 3.62

Calculated values
- Total moment: 0.000 μB per formula unit
- Excess energy over the best structure of this formula in the dataset: 0 meV/atom
- E: -3.88 eV/atom



# 4
Computed, not measured: a relaxed structure of NdYTmTl at the PBE level of DFT.

a = 4.8991 Å, b = 4.8403 Å, c = 4.9371 Å
α = 90.00°, β = 90.00°, γ = 90.00°
Closest atoms and distances in Å follow each position.
Element x y z (fractional)
Nd (0.0000, 0.5000, 0.5000)  4 Tm 3.44, 4 Y 3.46, 4 Tl 3.48
Y (0.0000, 0.0000, 0.0000)  4 Tl 3.44, 4 Nd 3.46, 4 Tm 3.48
Tm (0.5000, 0.0000, 0.5000)  4 Nd 3.44, 4 Tl 3.46, 4 Y 3.48
Tl (0.5000, 0.5000, 0.0000)  4 Y 3.44, 4 Tm 3.46, 4 Nd 3.48

Calculated values
- Total moment: 0.659 μB per formula unit
- Excess energy over the best structure of this formula in the dataset: 0 meV/atom
- E: -4.70 eV/atom



# 5
Computed, not measured: a relaxed structure of NdYTmTl at the PBE level of DFT.

a = 5.5150 Å, b = 5.5150 Å, c = 5.5150 Å
α = 60.00°, β = 60.00°, γ = 60.00°
Closest atoms and distances in Å follow each position.
Element x y z (fractional)
Y (0.2500, 0.2500, 0.2500)  4 Tl 3.38, 4 Tm 3.38
Tl (0.0000, 0.0000, 0.0000)  4 Nd 3.38, 4 Y 3.38
Tm (0.5000, 0.5000, 0.5000)  4 Nd 3.38, 4 Y 3.38
Nd (0.7500, 0.7500, 0.7500)  4 Tm 3.38, 4 Tl 3.38

Calculated values
- Total moment: 1.173 μB per formula unit
- Excess energy over the best structure of this formula in the dataset: 119 meV/atom
- E: -4.58 eV/atom



# 6
Computed, not measured: a relaxed structure of NdYTm2Tl2 at the PBE level of DFT.

a = 5.1223 Å, b = 6.7771 Å, c = 10.0257 Å
α = 90.00°, β = 90.00°, γ = 90.00°
Closest atoms and distances in Å follow each position.
Element x y z (fractional)
Nd (0.0000, 0.9593, 0.4596)  5 Tl 3.27-3.54, 2 Nd 3.48, 2 Y 3.52
Nd (0.0000, 0.4593, 0.5404)  5 Tl 3.27-3.54, 2 Nd 3.48, 2 Y 3.52
Y (0.5000, 0.1830, 0.6928)  4 Tl 3.18-3.37, 2 Nd 3.52
Y (0.5000, 0.6830, 0.3072)  4 Tl 3.18-3.37, 2 Nd 3.52
Tm (0.5000, 0.0508, 0.0422)  5 Tl 3.20-3.52, 4 Tm 3.49-3.50
Tm (0.0000, 0.3351, 0.1816)  4 Tl 3.14-3.21, 2 Tm 3.50
Tm (0.5000, 0.5508, 0.9578)  5 Tl 3.20-3.52, 4 Tm 3.49-3.50
Tm (0.0000, 0.8351, 0.8184)  4 Tl 3.14-3.21, 2 Tm 3.50
Tl (0.0000, 0.2982, 0.8698)  4 Tm 3.14-3.20, 2 Y 3.21, 1 Nd 3.48
Tl (0.5000, 0.2192, 0.3579)  2 Y 3.18-3.37, 3 Tm 3.21-3.36, 4 Nd 3.27-3.54
Tl (0.0000, 0.7982, 0.1302)  4 Tm 3.14-3.20, 2 Y 3.21, 1 Nd 3.48
Tl (0.5000, 0.7192, 0.6421)  2 Y 3.18-3.37, 3 Tm 3.21-3.36, 4 Nd 3.27-3.54

Calculated values
- Total moment: 0.000 μB per formula unit
- E: -4.42 eV/atom



# 7
Computed, not measured: a relaxed structure of NdTmTlZn at the PBE level of DFT.

a = 3.6896 Å, b = 3.6896 Å, c = 7.5541 Å
α = 90.00°, β = 90.00°, γ = 90.00°
Closest atoms and distances in Å follow each position.
Element x y z (fractional)
Nd (0.0000, 0.0000, 0.8365)  4 Zn 3.22, 4 Tl 3.40, 1 Tm 3.45
Tm (0.0000, 0.0000, 0.3802)  4 Zn 3.04, 4 Tl 3.25
Tl (0.5000, 0.5000, 0.1247)  4 Tm 3.25, 4 Nd 3.40, 1 Zn 3.49
Zn (0.5000, 0.5000, 0.5866)  4 Tm 3.04, 4 Nd 3.22

Calculated values
- Total moment: 0.000 μB per formula unit
- Excess energy over the best structure of this formula in the dataset: 0 meV/atom
- E: -3.56 eV/atom



# 8
Computed, not measured: a relaxed structure of NdTmTlZn at the PBE level of DFT.

a = 5.2859 Å, b = 5.2859 Å, c = 5.2859 Å
α = 60.00°, β = 60.00°, γ = 60.00°
Closest atoms and distances in Å follow each position.
Element x y z (fractional)
Tl (0.5000, 0.5000, 0.5000)  4 Tm 3.24, 4 Nd 3.24
Tm (0.7500, 0.7500, 0.7500)  4 Tl 3.24, 4 Zn 3.24
Nd (0.2500, 0.2500, 0.2500)  4 Tl 3.24, 4 Zn 3.24
Zn (0.0000, 0.0000, 0.0000)  4 Nd 3.24, 4 Tm 3.24

Calculated values
- Total moment: 0.001 μB per formula unit
- Excess energy over the best structure of this formula in the dataset: 34 meV/atom
- E: -3.53 eV/atom



Question: Which value of total moment does entry 8 give?
Answer: 0.001 μB per formula unit